[1]
14
Lattice="-3.9008 -3.9526 -0.7774 5.0344 -1.3105 -2.0932 1.6879 -2.8103 5.8190" Properties=species:S:1:pos:R:3 comment="CaMnGeO4 (GGA+U, optimized geometry)" spacegroup="Cmcm, No. 63" de_polymorph_mev_per_atom=53 total_magnetization_mub_per_fu=5.000 total_energy_ev_per_atom=-6.9679 pbc="T T T"
Ca 1.4107 -4.0367 1.4742
Ca 0.5668 -2.6316 -1.4353
Mn -2.0345 -4.2281 0.4646
Mn 4.8559 -3.8454 2.4837
Ge 4.1658 -2.3947 -0.4484
Ge -1.3443 -5.6787 3.3968
O 1.6934 -3.2402 3.6934
O 2.3172 -6.1364 2.1137
O -0.0251 -6.0083 4.5220
O -0.7592 -4.7860 1.9912
O 2.8466 -2.0651 -1.5736
O 3.5807 -3.2874 0.9572
O 1.1281 -4.8333 -0.7450
O 0.5043 -1.9371 0.8347



[2]
15
Lattice="6.4618 -0.0003 -0.0033 -3.2310 5.5985 -0.0151 0.0029 -3.7151 5.3973" Properties=species:S:1:pos:R:3 comment="Ca3Mn3GeO8 (GGA+U, optimized geometry)" spacegroup="R-3m, No. 166" total_magnetization_mub_per_fu=15.000 total_energy_ev_per_atom=-7.0262 pbc="T T T"
Ca 0.0000 0.0000 0.0000
Ca -1.6155 2.7992 -0.0076
Ca 1.6154 2.7991 -0.0092
Mn 3.2323 -1.8577 2.6970
Mn 1.6168 0.9415 2.6894
Mn -1.6141 0.9417 2.6911
Ge 0.0015 -1.8576 2.6986
O 0.0004 1.8704 1.4075
O 3.2333 0.0127 3.9713
O 3.2318 2.1032 1.5742
O 0.0019 -0.2202 3.8046
O 5.0475 -1.0447 1.5832
O -1.8138 2.9277 3.7956
O 1.4162 -1.0445 1.5843
O 1.8175 2.9275 3.7945



[3]
20
Lattice="5.5361 -0.0023 -0.0021 1.2917 6.8475 0.0035 1.2917 0.5595 6.8246" Properties=species:S:1:pos:R:3 comment="CaMnGe2O6 (GGA+U, optimized geometry)" spacegroup="C2/c, No. 15" total_magnetization_mub_per_fu=5.000 total_energy_ev_per_atom=-6.8768 pbc="T T T"
Ca 5.4439 2.4715 4.7470
Ca 2.6757 4.9331 2.0790
Mn 2.6756 1.1451 6.1882
Mn 5.4440 6.2596 0.6379
Ge 4.9975 2.7280 1.2882
Ge 5.8902 5.8981 4.2105
Ge 3.1221 4.6767 5.5379
Ge 2.2294 1.5065 2.6155
O 3.8072 2.4242 2.6654
O 7.0805 4.5501 4.6253
O 4.3124 4.9805 4.1606
O 1.0391 2.8545 2.2008
O 1.7653 1.1242 4.2378
O 3.5862 3.0907 6.0506
O 6.3543 6.2804 2.5882
O 4.5334 4.3139 0.7754
O 5.0425 1.4320 0.1166
O 5.8452 7.1711 5.4072
O 3.0771 5.9727 6.7095
O 2.2744 0.2336 1.4189